Entry i
Below is a relaxed structure of SrCr2Ru, with properties calculated at the GGA-PBE level.

- spin magnetization (μB per atom) = 0.000
- D(E_F) (states/eV/f.u.) = 6.2
- SG = Fm-3m, No. 225

```
SrCr2Ru
1.0
0.000 3.175 3.175
3.175 0.000 3.175
3.175 3.175 0.000
Sr Cr Ru
1 2 1
direct
0.000 0.000 0.000
0.250 0.250 0.250
0.750 0.750 0.750
0.500 0.500 0.500
```



Entry ii
Below is a relaxed structure of SrCr2Ru, with properties calculated at the GGA-PBE level.

- spin magnetization (μB per atom) = 0.000
- D(E_F) (states/eV/f.u.) = 3.6
- SG = C2/m, No. 12

```
SrCr2Ru
1.0
4.585 -1.569 0.000
4.585 1.569 0.000
-1.281 0.000 5.520
Sr Cr Ru
1 2 1
direct
0.000 0.000 0.000
0.211 0.211 0.606
0.789 0.789 0.394
0.500 0.500 0.500
```



Which structure loses on stability? entry i does.



Entry i
Below is a relaxed structure of TaCrRu3, with properties calculated at the GGA-PBE level.

- spin magnetization (μB per atom) = 0.293
- D(E_F) (states/eV/f.u.) = 9.2
- SG = Pm-3m, No. 221

```
TaCrRu3
1.0
4.649 0.000 0.000
0.000 4.649 0.000
0.000 0.000 4.649
Ta Cr Ru
1 1 3
direct
0.000 0.000 0.000
0.500 0.500 0.500
0.000 0.000 0.500
0.000 0.500 0.000
0.500 0.000 0.000
```



Entry ii
Below is a relaxed structure of TaCrRu3, with properties calculated at the GGA-PBE level.

- spin magnetization (μB per atom) = 0.000
- D(E_F) (states/eV/f.u.) = 7.0
- SG = Pm-3m, No. 221

```
TaCrRu3
1.0
4.372 0.000 0.000
0.000 4.372 0.000
0.000 0.000 4.372
Ta Cr Ru
1 1 3
direct
0.000 0.000 0.000
0.500 0.500 0.500
0.000 0.500 0.500
0.500 0.000 0.500
0.500 0.500 0.000
```



Which structure loses on stability? entry i does.



Entry i
Below is a relaxed structure of Ta4CrRu, with properties calculated at the GGA-PBE level.

- spin magnetization (μB per atom) = 0.000
- D(E_F) (states/eV/f.u.) = 5.1
- SG = P4/mmm, No. 123

```
Ta4CrRu
1.0
4.287 0.000 0.000
0.000 4.287 0.000
0.000 0.000 6.165
Ta Cr Ru
4 1 1
direct
0.000 0.500 0.241
0.000 0.500 0.759
0.500 0.000 0.241
0.500 0.000 0.759
0.000 0.000 0.000
0.500 0.500 0.500
```



Entry ii
Below is a relaxed structure of Ta4CrRu, with properties calculated at the GGA-PBE level.

- spin magnetization (μB per atom) = 0.538
- D(E_F) (states/eV/f.u.) = 3.3
- SG = F-43m, No. 216

```
Ta4CrRu
1.0
0.000 3.778 3.778
3.778 0.000 3.778
3.778 3.778 0.000
Ta Cr Ru
4 1 1
direct
0.125 0.125 0.125
0.125 0.125 0.625
0.125 0.625 0.125
0.625 0.125 0.125
0.750 0.750 0.750
0.500 0.500 0.500
```



Which structure loses on stability? entry ii does.